Compound: Ba3Fe2CuO9
Source: the Alexandria database
Functional: GGA+U
Structure: relaxed

## Properties
Spin magnetization: 0.57 μB/atom
Energy: -0.22056 hartree per atom

a = 5.7065 Å, b = 5.7065 Å, c = 6.9869 Å
α = 90.00°, β = 90.00°, γ = 120.00°
Closest atoms and distances in Å follow each position.
Atoms (fractional coordinates):
O 0.6630 0.8315 0.3294  1 Fe 1.98, 1 Cu 2.05
O 0.8315 0.6630 0.6706  1 Fe 1.98, 1 Cu 2.05
O 0.1685 0.8315 0.3294  1 Fe 1.98, 1 Cu 2.05
O 0.8315 0.1685 0.6706  1 Fe 1.98, 1 Cu 2.05
O 0.0000 0.5000 0.0000  2 Fe 2.02
O 0.5000 0.5000 0.0000  2 Fe 2.02
O 0.1685 0.3370 0.3294  1 Fe 1.98, 1 Cu 2.05
O 0.5000 0.0000 0.0000  2 Fe 2.02
O 0.3370 0.1685 0.6706  1 Fe 1.98, 1 Cu 2.05
Ba 0.3333 0.6667 0.6631  12 O 2.84-2.87
Ba 0.0000 0.0000 0.0000  12 O 2.84-2.85
Ba 0.6667 0.3333 0.3369  12 O 2.84-2.87
Fe 0.6667 0.3333 0.8321  6 O 1.98-2.02
Fe 0.3333 0.6667 0.1679  6 O 1.98-2.02
Cu 0.0000 0.0000 0.5000  6 O 2.05